NaLiTm: optimized geometry, GGA-PBE.

The space group is F-43m (No. 216) and the conventional cell measures 7.139, 7.139 and 7.139 Å, with angles of 90.00, 90.00 and 90.00 degrees. The distinct sites, in fractional coordinates, are Na at (0.000, 0.000, 0.000), Li at (0.250, 0.250, 0.250) and Tm at (0.000, 0.000, 0.500).

The excess energy over the best structure of this formula in the dataset comes out at 0 meV/atom. For the total moment, the calculation gives 0.00 μB/f.u. For the calculated total energy, the calculation gives -1.934 eV per atom.

=====

NaLiW: optimized geometry, GGA-PBE.

The space group is F-43m (No. 216) and the conventional cell measures 6.954, 6.954 and 6.954 Å, with angles of 90.00, 90.00 and 90.00 degrees. The distinct sites, in fractional coordinates, are Na at (0.000, 0.000, 0.000), Li at (0.000, 0.000, 0.500) and W at (0.250, 0.250, 0.750).

The excess energy over the best structure of this formula in the dataset comes out at 0 meV/atom. For the total moment, the calculation gives 4.85 μB/f.u. For the calculated total energy, the calculation gives -3.310 eV per atom.

=====

Question: Which of these has the lowest total moment?
Answer: NaLiTm

=====

Question: The lowest calculated total energy belongs to which entry?
Answer: NaLiW